Record 1
Here is Mg3Sc2Ga4 after structural relaxation from Alexandria via LeMat-Bulk. Energies are from GGA-PBE.

Output
energy relative to the elements: -275 meV per atom
E: -128.12 eV for the cell shown
total magnetization: 0.00 μB/cell
DOS at the Fermi energy: 23.360 states/eV per cell

abc: 5.8305 16.7027 7.3075
angles: 90.00 90.00 90.00
With the nearest neighbours (Å) after each atom.
Space group Cmce (No. 64)
Inequivalent atoms, fractional coordinates:
Mg: 0.0000 0.0000 0.0000  6 Ga 2.63-2.65
Mg: 0.2500 0.2398 0.2500  5 Ga 2.77-2.84, 2 Mg 2.92
Sc: 0.0000 0.0898 0.6030  7 Ga 2.93-3.25, 1 Mg 3.27
Ga: 0.0000 0.1581 0.9729  5 Mg 2.65-2.84, 2 Ga 2.88, 1 Sc 2.93
Ga: 0.2500 0.0716 0.2500  3 Mg 2.63-2.81, 4 Ga 2.88-2.92

=====

Record 2
Here is MnSi2Te after structural relaxation from Alexandria via LeMat-Bulk. Energies are from GGA-PBE.

Output
energy relative to the elements, uncorrected: 2.05 eV/f.u.
E: -84.44 eV for the cell shown
total magnetization: 11.43 μB/cell
DOS at the Fermi energy: 8.119 states/eV per cell

abc: 5.7942 5.7942 11.7126
angles: 90.00 90.00 90.00
With the nearest neighbours (Å) after each atom.
Space group I-42d (No. 122)
Inequivalent atoms, fractional coordinates:
Mn: 0.0000 0.0000 0.0000  4 Si 2.34
Si: 0.1919 0.2500 0.1250  2 Mn 2.34
Te: 0.0000 0.0000 0.5000  4 Si 2.73

=====

Record 3
Here is CaLaHg after structural relaxation from Alexandria via LeMat-Bulk. Energies are from GGA-PBE.

Output
energy relative to the elements: 230 meV per atom
E: -26.17 eV for the cell shown
total magnetization: 0.00 μB/cell
DOS at the Fermi energy: 18.471 states/eV per cell

abc: 7.4508 7.4508 7.4508
angles: 90.00 90.00 90.00
With the nearest neighbours (Å) after each atom.
Space group F-43m (No. 216)
Inequivalent atoms, fractional coordinates:
Ca: 0.0000 0.0000 0.0000  4 La 3.23
La: 0.2500 0.2500 0.7500  4 Hg 3.23, 4 Ca 3.23
Hg: 0.0000 0.0000 0.5000  4 La 3.23

=====

Record 4
Here is SrNpGe2 after structural relaxation from Alexandria via LeMat-Bulk. Energies are from GGA-PBE.

Output
energy relative to the elements: -236 meV per atom
E: -24.80 eV for the cell shown
total magnetization: 4.21 μB/cell
DOS at the Fermi energy: 6.206 states/eV per cell

abc: 3.3577 3.3577 8.5449
angles: 90.00 90.00 90.00
With the nearest neighbours (Å) after each atom.
Space group P4/mmm (No. 123)
Inequivalent atoms, fractional coordinates:
Sr: 0.0000 0.0000 0.0000  8 Ge 3.29, 4 Sr 3.36
Np: 0.0000 0.0000 0.5000  8 Ge 3.10, 4 Np 3.36
Ge: 0.5000 0.5000 0.2664  4 Np 3.10, 4 Sr 3.29, 4 Ge 3.36

=====

Question: What is the formula in the third record?
Answer: CaLaHg

=====

Question: Which formula does entry 2 have?
Answer: MnSi2Te